(1)
# Ca3ZnB

A relaxed structure of Ca3ZnB (GGA-PBE, Alexandria via LeMat-Bulk).

Properties
DFT total energy ... -12.8 eV/f.u.

Cell lengths 5.268, 5.268, 5.268 Å; angles 90.00, 90.00, 90.00 degrees
Each line ends with the local moment (μB).
Atoms (fractional coordinates):
Ca 0.000 0.500 0.000  0.06
Ca 0.500 0.000 0.000  0.05
Ca 0.000 0.000 0.500  0.05
B 0.000 0.000 0.000  0.21
Zn 0.500 0.500 0.500  0.04

(2)
# Fe2CoNi

A relaxed structure of Fe2CoNi (GGA-PBE, Alexandria via LeMat-Bulk).

Properties
DFT total energy ... -29.6 eV/f.u.

Cell lengths 4.017, 4.017, 4.017 Å; angles 60.00, 60.00, 60.00 degrees
Each line ends with the local moment (μB).
Atoms (fractional coordinates):
Ni 0.750 0.750 0.750  0.78
Fe 0.000 0.000 0.000  2.70
Fe 0.250 0.250 0.250  2.58
Co 0.500 0.500 0.500  1.69

(3)
# Er5US6

A relaxed structure of Er5US6 (GGA-PBE, Alexandria via LeMat-Bulk).

Properties
E_form (uncorrected) ... -1841 meV/atom

Cell lengths 6.709, 6.701, 6.696 Å; angles 59.98, 80.30, 70.32 degrees
Each line ends with the local moment (μB).
Atoms (fractional coordinates):
S 0.749 0.419 0.665  -0.01
S 0.251 0.916 0.665  -0.01
S 0.747 0.748 0.000  -0.01
S 0.749 0.084 0.335  -0.01
S 0.253 0.252 0.000  -0.01
S 0.251 0.581 0.335  -0.01
Er 0.500 0.831 0.338  0.03
Er 0.000 0.332 0.335  0.06
Er 0.500 0.500 0.000  0.04
Er 0.500 0.169 0.662  0.03
Er 0.000 0.668 0.665  0.06
U 0.000 0.000 0.000  2.34

(4)
# Pu2RuC

A relaxed structure of Pu2RuC (GGA-PBE, Alexandria via LeMat-Bulk).

Properties
DFT total energy ... -46.6 eV/f.u.

Cell lengths 3.150, 3.150, 6.596 Å; angles 90.00, 90.00, 90.00 degrees
Each line ends with the local moment (μB).
Atoms (fractional coordinates):
Ru 0.500 0.500 0.500  -0.80
C 0.500 0.500 0.000  -0.27
Pu 0.000 0.000 0.791  4.72
Pu 0.000 0.000 0.209  4.72

Number 1: N(E_F) 4.6 states/eV/f.u.. Number 2: N(E_F) 7.0 states/eV/f.u.. Number 3: N(E_F) 11.4 states/eV/f.u.. Number 4: N(E_F) 9.3 states/eV/f.u..